Model w:
{
  "formula": "B5C7",
  "functional": "GGA-PBE",
  "state": "relaxed",
  "lattice": [[2.606, 0.000, 0.000], [-1.303, 2.257, 0.000], [0.000, 0.000, 16.586]],
  "species": ["B", "B", "B", "B", "B", "C", "C", "C", "C", "C", "C", "C"],
  "fractional_positions": [[0.667, 0.333, 0.367], [0.000, 0.000, 0.790], [0.667, 0.333, 0.688], [0.333, 0.667, 0.625], [0.333, 0.667, 0.256], [0.333, 0.667, 0.530], [0.667, 0.333, 0.266], [0.000, 0.000, 0.498], [0.667, 0.333, 0.782], [0.333, 0.667, 0.021], [0.000, 0.000, 0.407], [0.000, 0.000, 0.021]]
}

---

Model x:
{
  "formula": "B5C7",
  "functional": "GGA-PBE",
  "state": "relaxed",
  "lattice": [[3.961, -0.014, -2.056], [3.160, 2.388, -2.056], [-0.011, -0.004, 8.205]],
  "species": ["C", "C", "C", "C", "C", "C", "C", "B", "B", "B", "B", "B"],
  "fractional_positions": [[0.502, 0.502, 0.881], [0.985, 0.985, 0.519], [0.180, 0.180, 0.197], [0.852, 0.852, 0.028], [0.816, 0.816, 0.535], [0.014, 0.014, 0.996], [0.150, 0.150, 0.700], [0.657, 0.657, 0.315], [0.489, 0.489, 0.400], [0.670, 0.670, 0.841], [0.358, 0.358, 0.157], [0.328, 0.328, 0.680]]
}

---

Least stable: model x

---

Model w:
{
  "formula": "SbAuBr",
  "functional": "GGA-PBE",
  "state": "relaxed",
  "lattice": [[3.994, -0.182, 0.046], [0.401, 8.466, -1.268], [0.026, 1.763, 4.747]],
  "species": ["Br", "Br", "Au", "Au", "Sb", "Sb"],
  "fractional_positions": [[0.250, 0.357, 0.789], [0.750, 0.643, 0.211], [0.750, 0.923, 0.864], [0.250, 0.077, 0.136], [0.750, 0.174, 0.456], [0.250, 0.826, 0.544]]
}

---

Model x:
{
  "formula": "SbAuBr",
  "functional": "GGA-PBE",
  "state": "relaxed",
  "lattice": [[5.007, -1.261, 0.537], [-1.158, 5.033, 0.545], [1.203, 1.232, 10.215]],
  "species": ["Au", "Au", "Sb", "Sb", "Br", "Br"],
  "fractional_positions": [[0.279, 0.722, 0.000], [0.721, 0.278, 0.000], [0.693, 0.692, 0.121], [0.307, 0.308, 0.879], [0.696, 0.700, 0.650], [0.304, 0.300, 0.350]]
}

---

Least stable: model x

---

Model w:
{
  "formula": "LaTaCr2",
  "functional": "GGA-PBE",
  "state": "relaxed",
  "lattice": [[2.897, -0.012, 0.000], [-1.172, 2.649, 0.000], [0.000, 0.000, 9.285]],
  "species": ["Cr", "Cr", "La", "Ta"],
  "fractional_positions": [[0.000, 0.000, 0.023], [0.500, 0.500, 0.197], [0.000, 0.000, 0.479], [0.500, 0.500, 0.801]]
}

---

Model x:
{
  "formula": "LaTaCr2",
  "functional": "GGA-PBE",
  "state": "relaxed",
  "lattice": [[9.348, -0.039, -0.023], [8.873, 2.942, -0.023], [8.873, 1.414, 2.580]],
  "species": ["Cr", "Cr", "La", "Ta"],
  "fractional_positions": [[0.991, 0.991, 0.991], [0.269, 0.269, 0.269], [0.506, 0.506, 0.506], [0.733, 0.733, 0.733]]
}

---

Least stable: model x

---

Model w:
{
  "formula": "Ni2OsBr",
  "functional": "GGA-PBE",
  "state": "relaxed",
  "lattice": [[2.680, -0.008, 0.000], [-1.197, 2.398, 0.000], [0.000, 0.000, 9.942]],
  "species": ["Br", "Os", "Ni", "Ni"],
  "fractional_positions": [[0.500, 0.500, 0.804], [0.000, 0.000, 0.434], [0.500, 0.500, 0.228], [0.000, 0.000, 0.034]]
}

---

Model x:
{
  "formula": "Ni2OsBr",
  "functional": "GGA-PBE",
  "state": "relaxed",
  "lattice": [[-2.637, 2.127, 2.667], [0.212, 4.298, 0.268], [-3.190, 2.420, -1.599]],
  "species": ["Ni", "Ni", "Os", "Br"],
  "fractional_positions": [[0.250, 0.250, 0.250], [0.750, 0.750, 0.750], [0.500, 0.500, 0.500], [0.000, 0.000, 0.000]]
}

---

Least stable: model x